A plane-wave DFT calculation with PBE was carried out for NbSbTe2Ru after structural relaxation.

Cell: 5.1608 5.1608 4.9675 Å, 90.00 90.00 90.00°
With the nearest neighbours (Å) after each atom.
Element x y z (fractional)
1 Te 0.0000 0.5000 0.0000  2 Ru 2.58
2 Sb 0.0000 0.0000 0.5000  2 Ru 2.48
3 Te 0.5000 0.0000 0.0000  2 Ru 2.58
4 Nb 0.5000 0.5000 0.5000  8 Te 3.58, 4 Sb 3.65
5 Ru 0.0000 0.0000 0.0000  2 Sb 2.48, 4 Te 2.58

Summary:
- Formation energy (no corrections): 4.8 eV per formula unit
- Energy above the lowest structure with this stoichiometry: 0 meV per atom